Ba2Cu (PBE, relaxed); DOS at the Fermi energy = 7.1 states/eV/cell; symmetry = Cmcm, No. 63; energy relative to the elements = 0.0917 eV per atom
1.0
2.0257 -10.3523 0.0000
2.0257 10.3523 0.0000
0.0000 0.0000 5.8906
Ba Cu
4 2
direct
0.0631 0.9369 0.7500
0.1930 0.8070 0.2500
0.8070 0.1930 0.7500
0.9369 0.0631 0.2500
0.4336 0.5664 0.7500
0.5664 0.4336 0.2500

BaBr (PBE, relaxed); E_form (uncorrected) = -1.4358 eV/atom; DOS at the Fermi energy = 2.4 states/eV/cell; symmetry = P6_3mc, No. 186
1.0
4.6018 0.0000 0.0000
-2.3009 3.9853 0.0000
0.0000 0.0000 10.6116
Ba Br
2 2
direct
0.3333 0.6667 0.0000
0.6667 0.3333 0.5000
0.3333 0.6667 0.3032
0.6667 0.3333 0.8032

LaThNiPt (PBE, relaxed); energy above the most stable polymorph in this dataset = 0 meV per atom; DOS at the Fermi energy = 3.1 states/eV/cell; symmetry = Amm2, No. 38; energy relative to the elements = -0.7779 eV per atom
1.0
4.4308 0.0000 0.0000
0.0000 1.9304 5.5731
0.0000 -1.9304 5.5731
La Th Ni Pt
1 1 1 1
direct
0.0000 0.0000 0.0000
0.5000 0.2720 0.2720
0.0000 0.7354 0.7354
0.5000 0.5573 0.5573

Al2CuHgS4 (PBE, relaxed); E_form (uncorrected) = -0.5664 eV/atom; DOS at the Fermi energy = 3.0 states/eV/cell; symmetry = Fmm2, No. 42
1.0
0.0000 3.8172 5.9406
3.8155 0.0000 5.9406
3.8155 3.8172 0.0000
Al Cu Hg S
2 1 1 4
direct
0.0000 0.0000 0.5000
0.5000 0.5000 0.0000
0.2497 0.2497 0.7503
0.7505 0.7505 0.2495
0.1765 0.6081 0.3919
0.3240 0.8914 0.6760
0.6081 0.1765 0.8235
0.8914 0.3240 0.1086

LaPrYEr (PBE, relaxed); energy above the most stable polymorph in this dataset = 12 meV per atom; DOS at the Fermi energy = 7.6 states/eV/cell; symmetry = Cm, No. 8; energy relative to the elements = 0.0992 eV per atom
1.0
6.2791 -2.9682 0.0000
6.2791 2.9682 0.0000
-1.1579 0.0000 3.6826
La Pr Y Er
1 1 1 1
direct
0.0000 0.0000 0.0000
0.7324 0.7324 0.1953
0.4820 0.4820 0.4682
0.2464 0.2464 0.7209

LiSb2WI (PBE, relaxed); energy above the most stable polymorph in this dataset = 0 meV per atom; E_form (uncorrected) = 0.4345 eV/atom; DOS at the Fermi energy = 3.4 states/eV/cell; symmetry = P4/mmm, No. 123
1.0
5.1847 0.0000 0.0000
0.0000 5.1847 0.0000
0.0000 0.0000 6.2043
Li Sb W I
1 2 1 1
direct
0.0000 0.0000 0.0000
0.0000 0.5000 0.5000
0.5000 0.0000 0.5000
0.5000 0.5000 0.5000
0.5000 0.5000 0.0000

Mg2BC (PBE, relaxed); energy above the most stable polymorph in this dataset = 41 meV per atom; DOS at the Fermi energy = 0.4 states/eV/cell; symmetry = Imm2, No. 44; energy relative to the elements = 0.1255 eV per atom
1.0
-1.4691 1.6611 5.5978
1.4691 -1.6611 5.5978
1.4691 1.6611 -5.5978
Mg B C
2 1 1
direct
0.0000 0.0000 0.0000
0.2981 0.2981 0.0000
0.6540 0.6540 0.0000
0.6480 0.1480 0.5000

Tl6S (PBE, relaxed); energy above the most stable polymorph in this dataset = 0 meV per atom; E_form (uncorrected) = -0.0544 eV/atom; DOS at the Fermi energy = 2.9 states/eV/cell; symmetry = P31m, No. 157
1.0
6.5253 0.0000 0.0000
-3.2627 5.6511 0.0000
0.0000 0.0000 5.9789
Tl S
6 1
direct
0.0000 0.3987 0.0000
0.0000 0.6632 0.5146
0.3368 0.3368 0.5146
0.3987 0.0000 0.0000
0.6013 0.6013 0.0000
0.6632 0.0000 0.5146
0.0000 0.0000 0.1848

ZrTl3Br7 (PBE, relaxed); E_form (uncorrected) = -1.1000 eV/atom; DOS at the Fermi energy = 0.0 states/eV/cell; symmetry = Cm, No. 8
1.0
5.7747 -5.0556 0.0000
5.7747 5.0556 0.0000
-4.0365 0.0000 7.4342
Zr Tl Br
1 3 7
direct
0.0000 0.0000 0.0000
0.2203 0.7940 0.5083
0.5000 0.5000 0.9636
0.7940 0.2203 0.5083
0.0412 0.6708 0.7625
0.1652 0.1652 0.8597
0.3312 0.9516 0.2251
0.4910 0.4910 0.5985
0.6708 0.0412 0.7625
0.8379 0.8379 0.1403
0.9516 0.3312 0.2251

LiHoTm (PBE, relaxed); energy above the most stable polymorph in this dataset = 0 meV per atom; DOS at the Fermi energy = 6.1 states/eV/cell; symmetry = P4/nmm, No. 129; energy relative to the elements = 0.0609 eV per atom
1.0
3.5655 0.0000 0.0000
0.0000 3.5655 0.0000
0.0000 0.0000 12.6299
Li Ho Tm
2 2 2
direct
0.2500 0.2500 0.0518
0.7500 0.7500 0.9482
0.2500 0.2500 0.4007
0.7500 0.7500 0.5993
0.2500 0.2500 0.7839
0.7500 0.7500 0.2161

BaHgS2O8 (PBE, relaxed); E_form (uncorrected) = -1.6008 eV/atom; DOS at the Fermi energy = 0.0 states/eV/cell; symmetry = P-3, No. 147
1.0
5.1388 0.0000 0.0000
-2.5694 4.4503 0.0000
0.0000 0.0000 8.1790
Ba Hg S O
1 1 2 8
direct
0.0000 0.0000 0.0000
0.0000 0.0000 0.5000
0.3333 0.6667 0.7577
0.6667 0.3333 0.2423
0.0840 0.3685 0.7023
0.2844 0.9160 0.7023
0.3333 0.6667 0.9406
0.3685 0.2844 0.2977
0.6315 0.7156 0.7023
0.6667 0.3333 0.0594
0.7156 0.0840 0.2977
0.9160 0.6315 0.2977

Tc2NiRh (PBE, relaxed); energy above the most stable polymorph in this dataset = 475 meV per atom; DOS at the Fermi energy = 9.0 states/eV/cell; symmetry = Fm-3m, No. 225; energy relative to the elements = 0.3893 eV per atom
1.0
0.0000 3.0285 3.0285
3.0285 0.0000 3.0285
3.0285 3.0285 0.0000
Tc Ni Rh
2 1 1
direct
0.2500 0.2500 0.2500
0.7500 0.7500 0.7500
0.0000 0.0000 0.0000
0.5000 0.5000 0.5000

Hf3Co (PBE, relaxed); DOS at the Fermi energy = 3.5 states/eV/cell; symmetry = Imm2, No. 44; energy relative to the elements = -0.1665 eV per atom
1.0
-1.5916 4.7357 2.5744
1.5916 -4.7357 2.5744
1.5916 4.7357 -2.5744
Hf Co
3 1
direct
0.0000 0.0000 0.0000
0.2640 0.4655 0.7985
0.6670 0.4655 0.2015
0.6213 0.1213 0.5000

Nb2CO (PBE, relaxed); energy above the most stable polymorph in this dataset = 481 meV per atom; E_form (uncorrected) = -0.5760 eV/atom; DOS at the Fermi energy = 0.0 states/eV/cell; symmetry = Fm-3m, No. 225
1.0
0.0000 2.7942 2.7942
2.7942 0.0000 2.7942
2.7942 2.7942 0.0000
Nb C O
2 1 1
direct
0.2500 0.2500 0.2500
0.7500 0.7500 0.7500
0.0000 0.0000 0.0000
0.5000 0.5000 0.5000

ErMg2Pd (PBE, relaxed); DOS at the Fermi energy = 4.7 states/eV/cell; symmetry = R3m, No. 160; energy relative to the elements = -0.3849 eV per atom
1.0
2.4493 1.4141 4.0080
-2.4493 1.4141 4.0080
0.0000 -2.8282 4.0080
Er Mg Pd
1 2 1
direct
0.0000 0.0000 0.0000
0.2496 0.2496 0.2496
0.4997 0.4997 0.4997
0.7502 0.7502 0.7502

PmHf2Al6 (PBE, relaxed); DOS at the Fermi energy = 4.0 states/eV/cell; symmetry = P6/mmm, No. 191; energy relative to the elements = -0.3462 eV per atom
1.0
7.8212 0.0000 0.0000
-3.9106 6.7733 0.0000
0.0000 0.0000 3.2368
Pm Hf Al
1 2 6
direct
0.0000 0.0000 0.0000
0.3333 0.6667 0.0000
0.6667 0.3333 0.0000
0.0000 0.3390 0.5000
0.0000 0.6610 0.5000
0.3390 0.0000 0.5000
0.3390 0.3390 0.5000
0.6610 0.0000 0.5000
0.6610 0.6610 0.5000

Pa2Mn16Tc (PBE, relaxed); DOS at the Fermi energy = 21.5 states/eV/cell; symmetry = R3m, No. 160; energy relative to the elements = -0.0175 eV per atom
1.0
4.3165 2.4921 3.8732
-4.3165 2.4921 3.8732
0.0000 -4.9842 3.8732
Pa Mn Tc
2 16 1
direct
0.0000 0.0000 0.0000
0.2899 0.2899 0.2899
0.0046 0.0046 0.5183
0.0046 0.5183 0.0046
0.1417 0.6463 0.6463
0.2816 0.2816 0.7768
0.2816 0.7768 0.2816
0.3713 0.6471 0.9199
0.3713 0.9199 0.6471
0.5183 0.0046 0.0046
0.6463 0.1417 0.6463
0.6463 0.6463 0.1417
0.6471 0.3713 0.9199
0.6471 0.9199 0.3713
0.7473 0.7473 0.7473
0.7768 0.2816 0.2816
0.9199 0.3713 0.6471
0.9199 0.6471 0.3713
0.5381 0.5381 0.5381

SmNpSi2 (PBE, relaxed); E_form (uncorrected) = -0.1244 eV/atom; DOS at the Fermi energy = 9.0 states/eV/cell; symmetry = R-3m, No. 166
1.0
2.0265 1.1700 6.9536
-2.0265 1.1700 6.9536
0.0000 -2.3400 6.9536
Sm Np Si
1 1 2
direct
0.0000 0.0000 0.0000
0.5000 0.5000 0.5000
0.2445 0.2445 0.2445
0.7555 0.7555 0.7555

Tb3DyEr7 (PBE, relaxed); energy above the most stable polymorph in this dataset = 124 meV per atom; DOS at the Fermi energy = 15.6 states/eV/cell; symmetry = C2/m, No. 12; energy relative to the elements = 0.2796 eV per atom
1.0
6.2231 -5.5357 0.0000
6.2231 5.5357 0.0000
-2.6414 0.0000 5.0957
Tb Dy Er
3 1 7
direct
0.0000 0.0000 0.0000
0.2092 0.7908 0.5000
0.7908 0.2092 0.5000
0.5000 0.5000 0.0000
0.0074 0.4016 0.2043
0.2065 0.2065 0.7055
0.4016 0.0074 0.2043
0.5000 0.5000 0.5000
0.5984 0.9926 0.7957
0.7935 0.7935 0.2945
0.9926 0.5984 0.7957

CeCd4Pb (PBE, relaxed); energy above the most stable polymorph in this dataset = 99 meV per atom; DOS at the Fermi energy = 9.0 states/eV/cell; symmetry = F-43m, No. 216; energy relative to the elements = -0.0791 eV per atom
1.0
0.0000 4.2662 4.2662
4.2662 0.0000 4.2662
4.2662 4.2662 0.0000
Ce Cd Pb
1 4 1
direct
0.0000 0.0000 0.0000
0.3749 0.3749 0.3749
0.3749 0.3749 0.8752
0.3749 0.8752 0.3749
0.8752 0.3749 0.3749
0.7500 0.7500 0.7500